<1>
## CaRu2Cl (PBE-GGA)

Data for a relaxed CaRu2Cl crystal.

Values from the calculation:
V: 83.9 Å³/f.u.
magnetic moment: 0.00 μB per formula unit

Cell lengths 5.2647, 5.2647, 5.2647 Å; angles 138.52, 116.85, 78.41 degrees
Fractional coordinates of all 4 atoms:
Ru1 0.9928 0.9928 0.0000
Ru2 0.8203 0.3203 0.5000
Ca1 0.4776 0.4776 0.0000
Cl1 0.2093 0.7093 0.5000

***

<2>
## CaRu2Cl (PBE-GGA)

Data for a relaxed CaRu2Cl crystal.

Values from the calculation:
V: 80.4 Å³/f.u.
magnetic moment: 0.00 μB per formula unit

Cell lengths 3.2576, 3.2436, 7.7905 Å; angles 77.76, 90.00, 90.00 degrees
Fractional coordinates of all 4 atoms:
Ru1 0.0000 0.7771 0.0776
Ru2 0.5000 0.2095 0.2100
Ca1 0.0000 0.5604 0.5005
Cl1 0.5000 0.9529 0.7119

***

Which of them is most stable? Easy: <2>.

***

<1>
## CaRu2Cl (PBE-GGA)

Data for a relaxed CaRu2Cl crystal.

Values from the calculation:
V: 81.4 Å³/f.u.
magnetic moment: 0.00 μB per formula unit

Cell lengths 3.6141, 6.7400, 3.6128 Å; angles 74.36, 90.32, 105.64 degrees
Fractional coordinates of all 4 atoms:
Ru1 0.0000 0.0000 0.0000
Ru2 0.5000 0.0000 0.5000
Ca1 0.0000 0.5000 0.5000
Cl1 0.5000 0.5000 0.0000

***

<2>
## CaRu2Cl (PBE-GGA)

Data for a relaxed CaRu2Cl crystal.

Values from the calculation:
V: 75.6 Å³/f.u.
magnetic moment: 0.00 μB per formula unit

Cell lengths 5.7632, 5.7632, 2.9286 Å; angles 90.00, 90.00, 128.96 degrees
Fractional coordinates of all 4 atoms:
Ru1 0.0000 0.0000 0.0000
Ru2 0.5000 0.5000 0.0000
Ca1 0.5000 0.0000 0.5000
Cl1 0.0000 0.5000 0.5000

***

Which of them is most stable? Easy: <1>.